(1)
Computed, not measured: a relaxed structure of Cs2RuCl7 at the GGA-PBE level of DFT.

Cell: 7.802 7.802 7.802 Å, 120.48 120.48 89.17°
Sites, in units of the cell vectors:
Cs 0.250 0.750 0.500
Cs 0.750 0.250 0.500
Ru 0.000 0.000 0.000
Cl 0.211 0.211 0.000
Cl 0.214 0.214 0.428
Cl 0.214 0.786 0.000
Cl 0.500 0.500 0.000
Cl 0.786 0.214 0.000
Cl 0.786 0.786 0.572
Cl 0.789 0.789 0.000

Values from the calculation:
Distance to the lowest polymorph of the same formula ... 0.000 eV/atom
Symmetry ... I4/mmm (139)

(2)
Computed, not measured: a relaxed structure of Cs2RuCl7 at the GGA-PBE level of DFT.

Cell: 9.351 9.351 13.593 Å, 125.46 125.46 45.70°
Sites, in units of the cell vectors:
Cs 0.136 0.191 0.052
Cs 0.191 0.136 0.552
Cs 0.809 0.864 0.448
Cs 0.864 0.809 0.948
Ru 0.495 0.505 0.750
Ru 0.505 0.495 0.250
Cl 0.162 0.692 0.271
Cl 0.164 0.836 0.750
Cl 0.296 0.517 0.818
Cl 0.308 0.838 0.229
Cl 0.346 0.365 0.532
Cl 0.365 0.346 0.032
Cl 0.483 0.704 0.682
Cl 0.517 0.296 0.318
Cl 0.635 0.654 0.968
Cl 0.654 0.635 0.468
Cl 0.692 0.162 0.771
Cl 0.704 0.483 0.182
Cl 0.836 0.164 0.250
Cl 0.838 0.308 0.729

Values from the calculation:
Distance to the lowest polymorph of the same formula ... 0.081 eV/atom
Symmetry ... C2/c (15)

(3)
Computed, not measured: a relaxed structure of CsRuCl2 at the GGA-PBE level of DFT.

Cell: 8.817 8.817 8.817 Å, 33.16 33.16 33.16°
Sites, in units of the cell vectors:
Cs 0.000 0.000 0.000
Ru 0.500 0.500 0.500
Cl 0.407 0.407 0.407
Cl 0.593 0.593 0.593

Values from the calculation:
Distance to the lowest polymorph of the same formula ... 0.000 eV/atom
Symmetry ... R-3m (166)

(4)
Computed, not measured: a relaxed structure of Cs2Ru2Cl at the GGA-PBE level of DFT.

Cell: 9.970 9.970 3.417 Å, 90.00 90.00 90.00°
Sites, in units of the cell vectors:
Cs 0.213 0.287 0.000
Cs 0.287 0.787 0.000
Cs 0.713 0.213 0.000
Cs 0.787 0.713 0.000
Ru 0.077 0.577 0.500
Ru 0.423 0.077 0.500
Ru 0.577 0.923 0.500
Ru 0.923 0.423 0.500
Cl 0.000 0.000 0.500
Cl 0.500 0.500 0.500

Values from the calculation:
Symmetry ... P4/mbm (127)

(5)
Computed, not measured: a relaxed structure of Cs2RuCl4 at the GGA-PBE level of DFT.

Cell: 9.206 9.206 9.206 Å, 148.34 148.34 45.38°
Sites, in units of the cell vectors:
Cs 0.143 0.143 0.000
Cs 0.857 0.857 0.000
Ru 0.500 0.500 0.000
Cl 0.000 0.500 0.500
Cl 0.356 0.356 0.000
Cl 0.500 0.000 0.500
Cl 0.644 0.644 0.000

Values from the calculation:
Symmetry ... I4/mmm (139)

(6)
Computed, not measured: a relaxed structure of Cs3Ru2Cl8 at the GGA-PBE level of DFT.

Cell: 9.849 9.849 9.849 Å, 45.50 45.50 45.50°
Sites, in units of the cell vectors:
Cs 0.000 0.000 0.000
Cs 0.230 0.230 0.230
Cs 0.770 0.770 0.770
Ru 0.455 0.455 0.455
Ru 0.545 0.545 0.545
Cl 0.196 0.729 0.729
Cl 0.271 0.271 0.804
Cl 0.271 0.804 0.271
Cl 0.357 0.357 0.357
Cl 0.643 0.643 0.643
Cl 0.729 0.196 0.729
Cl 0.729 0.729 0.196
Cl 0.804 0.271 0.271

Values from the calculation:
Symmetry ... R-3m (166)

Results for energy relative to the elements, uncorrected: -1.027, -0.947, -0.311, 0.788, -1.188, -1.018 (in eV/atom, following the order of the records).